Record 1
A plane-wave DFT calculation with GGA-PBE was carried out for SrPm3Pr2Se6 after structural relaxation.

Cell lengths 7.362, 7.362, 7.378 Å; angles 99.52, 99.52, 120.11 degrees
Sites, in units of the cell vectors:
Sr1 0.000 0.000 0.000
Pm1 0.166 0.834 0.500
Pm2 0.500 0.500 0.500
Pm3 0.834 0.166 0.500
Pr1 0.333 0.667 0.000
Pr2 0.667 0.333 0.000
Se1 0.086 0.420 0.258
Se2 0.249 0.249 0.746
Se3 0.420 0.086 0.258
Se4 0.580 0.914 0.742
Se5 0.751 0.751 0.254
Se6 0.914 0.580 0.742

Results
Space-group type: C2/m
Uncorrected energy (eV per atom): -5.73
Formation energy from raw total energies (meV/atom): -1860

Record 2
A plane-wave DFT calculation with GGA-PBE was carried out for LiMoPt2 after structural relaxation.

Cell lengths 3.357, 3.357, 5.331 Å; angles 90.00, 90.00, 90.00 degrees
Sites, in units of the cell vectors:
Li1 0.000 0.000 0.000
Mo1 0.500 0.500 0.282
Pt1 0.000 0.000 0.505
Pt2 0.500 0.500 0.804

Results
Space-group type: P4mm
Uncorrected energy (eV per atom): -6.28
Excess energy over the best structure of this formula in the dataset (eV/atom): 0.373
Energy of formation from the pure elements (meV/atom): -73

Number 1: mass density 6.50 g cm⁻³. Number 2: mass density 13.62 g cm⁻³.